## TlTeSCl2 (PBE)

Data for a relaxed TlTeSCl2 crystal.

Structure (POSCAR):
```
TlTeSCl2
1.0
-1.160 4.769 -1.737
-4.560 -0.196 2.505
2.321 2.165 4.394
Cl Tl Te S
2 1 1 1
direct
0.500 0.000 0.000
0.000 0.500 0.000
0.000 0.000 0.000
0.500 0.500 0.500
0.000 0.000 0.500
```

Properties
- E above lowest polymorph (meV/atom) = 542

## Sr4CuSi (PBE)

Data for a relaxed Sr4CuSi crystal.

Structure (POSCAR):
```
Sr4CuSi
1.0
1.019 -6.157 2.816
2.870 -0.498 6.196
-3.763 -1.974 5.368
Sr Cu Si
4 1 1
direct
0.877 0.374 0.374
0.374 0.374 0.374
0.374 0.374 0.877
0.374 0.877 0.374
0.750 0.750 0.750
0.000 0.000 0.000
```

Properties
- electronic total energy (eV per cell) = -11.40

## HfGa2Mo (PBE)

Data for a relaxed HfGa2Mo crystal.

Structure (POSCAR):
```
HfGa2Mo
1.0
-1.631 -3.241 2.177
3.654 -1.053 1.169
-0.354 2.330 3.205
Ga Mo Hf
2 1 1
direct
0.000 0.500 0.000
0.000 0.000 0.500
0.500 0.000 0.000
0.500 0.500 0.500
```

Properties
- ΔH_f (0 K) (eV per atom) = -0.200
- E above lowest polymorph (meV/atom) = 124

## DyCdHgPd (PBE)

Data for a relaxed DyCdHgPd crystal.

Structure (POSCAR):
```
DyCdHgPd
1.0
-2.773 1.960 3.592
-4.923 -0.400 -0.182
-2.360 -2.949 3.189
Dy Cd Pd Hg
1 1 1 1
direct
0.250 0.250 0.250
0.750 0.750 0.750
0.000 0.000 0.000
0.500 0.500 0.500
```

Properties
- ΔH_f (0 K) (eV per atom) = -0.509